Entry 1
10
Lattice="-2.235 -1.663 0.403 3.763 -1.680 4.104 -2.634 4.579 4.290" Properties=species:S:1:pos:R:3 comment="PBE TiCo2GeH, optimized geometry" sg=Cmcm crystal_system=orthorhombic dos_ef_per_ev_atom=0.642 pbc="T T T"
Ti 0.592 0.996 7.397
Ti -1.698 0.239 1.400
Co -1.755 3.636 5.274
Co 0.650 -2.401 3.522
Co -0.712 1.823 3.575
Co -0.394 -0.588 5.222
Ge -1.708 1.287 5.673
Ge 0.602 -0.052 3.123
H 0.000 0.000 0.000
H -1.317 2.289 2.145

Entry 2
5
Lattice="3.721 0.000 0.000 0.000 3.721 0.000 0.000 0.000 3.774" Properties=species:S:1:pos:R:3 comment="PBE TiCo2GeH, optimized geometry" sg=P4/mmm crystal_system=tetragonal dos_ef_per_ev_atom=0.797 pbc="T T T"
H 0.000 0.000 0.000
Ge 1.861 1.861 1.887
Co 0.000 1.861 0.000
Co 1.861 0.000 0.000
Ti 0.000 0.000 1.887

Entry 3
5
Lattice="4.363 0.000 0.000 0.000 4.885 0.000 0.000 0.000 4.363" Properties=species:S:1:pos:R:3 comment="PBE TiCo2GeH, optimized geometry" sg=P4/mmm crystal_system=tetragonal dos_ef_per_ev_atom=1.495 pbc="T T T"
H 2.182 2.442 2.182
Ge 0.000 0.000 0.000
Co 0.000 0.000 2.182
Co 2.182 0.000 0.000
Ti 0.000 2.442 0.000

Relative energies, unit meV/atom: entry 1 0; entry 2 20; entry 3 1561